NbCd2Te2 after structural relaxation. Source: OQMD, functional PBE-GGA.

a = 3.694 Å, b = 3.694 Å, c = 18.588 Å
α = 90.00°, β = 90.00°, γ = 90.00°
Space group I4/mmm (No. 139)
Symmetry-distinct sites (fractional):
Nb 0.000 0.000 0.000 [2 per cell]
Cd 0.000 0.500 0.250 [4 per cell]
Te 0.000 0.000 0.415 [4 per cell]

Computed properties:
The calculation puts the total magnetization at 0.1 Bohr magnetons per cell. The calculation puts the calculated total energy at -3.519 eV per atom.